SrTlPb2S4 | PBE | optimized geometry

Computed properties:
SG	P2/m (10)
raw formation energy	-0.83	eV per atom
final energy	-0.3179	Ry per atom

Cell lengths 7.337, 4.240, 7.377 Å; angles 90.00, 109.52, 90.00 degrees
Fractional positions:
Sr: 0.000 0.000 0.000
Tl: 0.500 0.500 0.000
Pb: 0.000 0.500 0.500
Pb: 0.500 0.000 0.500
S: 0.243 0.000 0.742
S: 0.244 0.500 0.253
S: 0.756 0.500 0.747
S: 0.757 0.000 0.258